Entry from the Alexandria database: NaTm2TlCl8 after structural relaxation (PBE).

Lattice parameters (Å, degrees): 6.988 6.646 8.139 90.00 90.00 85.64
Positions (direct):
Cl (0.194, 0.738, 0.772)
Tm (0.500, 0.500, 0.245)
Cl (0.358, 0.290, 0.000)
Tm (0.500, 0.500, 0.755)
Cl (0.194, 0.738, 0.228)
Cl (0.806, 0.262, 0.772)
Na (0.000, 0.000, 0.000)
Cl (0.806, 0.262, 0.228)
Cl (0.369, 0.296, 0.500)
Tl (0.000, 0.000, 0.500)
Cl (0.642, 0.710, 0.000)
Cl (0.631, 0.704, 0.500)

- DOS at the Fermi energy: 0.00 states/eV per cell
- Energy relative to the elements, uncorrected: -1.9702 eV/atom
- Calculated volume: 31.41 Å³/atom

=====

Entry from the Alexandria database: Re2HW2 after structural relaxation (PBE).

Lattice parameters (Å, degrees): 7.504 7.504 2.923 90.00 90.00 90.00
Positions (direct):
Re (0.853, 0.647, 0.000)
H (0.000, 0.000, 0.000)
W (0.647, 0.853, 0.500)
Re (0.647, 0.147, 0.000)
W (0.353, 0.147, 0.500)
W (0.147, 0.647, 0.500)
H (0.500, 0.500, 0.000)
W (0.853, 0.353, 0.500)
Re (0.147, 0.353, 0.000)
Re (0.353, 0.853, 0.000)

- DOS at the Fermi energy: 6.02 states/eV per cell
- Calculated volume: 16.46 Å³/atom
- ΔE to the lowest computed polymorph: 0 meV/atom

=====

Entry from the Alexandria database: Sr4TlH after structural relaxation (PBE).

Lattice parameters (Å, degrees): 5.586 7.763 10.190 90.00 90.00 90.00
Positions (direct):
Tl (0.895, 0.998, 0.000)
H (0.395, 0.401, 0.000)
Sr (0.395, 0.190, 0.802)
Sr (0.395, 0.190, 0.198)
Sr (0.395, 0.582, 0.500)
Sr (0.895, 0.810, 0.302)
Sr (0.895, 0.810, 0.698)
Tl (0.395, 0.002, 0.500)
Sr (0.395, 0.741, 0.000)
Sr (0.895, 0.418, 0.000)
H (0.895, 0.599, 0.500)
Sr (0.895, 0.259, 0.500)

- DOS at the Fermi energy: 9.22 states/eV per cell
- Calculated volume: 36.83 Å³/atom
- Final energy: -0.1714 Ry/atom

=====

Entry from the Alexandria database: SrSbPb2 after structural relaxation (PBE).

Lattice parameters (Å, degrees): 3.748 3.748 9.262 90.00 90.00 90.10
Positions (direct):
Pb (0.000, 0.000, 0.014)
Sb (0.000, 0.000, 0.497)
Sr (0.500, 0.500, 0.738)
Pb (0.500, 0.500, 0.252)

- DOS at the Fermi energy: 1.76 states/eV per cell
- Energy relative to the elements, uncorrected: -0.2417 eV/atom
- Calculated volume: 32.52 Å³/atom

=====

Entry from the Alexandria database: BaSrMgZn after structural relaxation (PBE).

Lattice parameters (Å, degrees): 4.062 4.062 8.566 90.00 90.00 90.00
Positions (direct):
Mg (0.500, 0.500, 0.593)
Ba (0.000, 0.000, 0.877)
Zn (0.500, 0.500, 0.122)
Sr (0.000, 0.000, 0.336)

- DOS at the Fermi energy: 2.38 states/eV per cell
- Calculated volume: 35.33 Å³/atom
- Formation energy: -2.5 kcal/mol of atoms

=====

Entry from the Alexandria database: Sc2Fe2W after structural relaxation (PBE).

Lattice parameters (Å, degrees): 5.523 5.523 5.523 136.45 136.45 63.28
Positions (direct):
Sc (0.373, 0.373, 0.000)
Sc (0.627, 0.627, 0.000)
Fe (0.750, 0.250, 0.500)
Fe (0.250, 0.750, 0.500)
W (0.000, 0.000, 0.000)

- DOS at the Fermi energy: 4.55 states/eV per cell
- Calculated volume: 15.78 Å³/atom
- Formation energy: 23.2 kcal/mol of atoms
- ΔE to the lowest computed polymorph: 1020 meV/atom

=====

Entry from the Alexandria database: MnBeZnBi2 after structural relaxation (PBE).

Lattice parameters (Å, degrees): 5.113 4.124 5.113 90.00 90.00 90.00
Each line ends with the local moment (μB).
Positions (direct):
Mn (0.500, 0.500, 0.500)  4.09
Bi (0.500, 0.000, 0.000)  -0.13
Zn (0.000, 0.500, 0.000)  0.01
Be (0.000, 0.000, 0.000)  0.02
Bi (0.000, 0.000, 0.500)  -0.09

- DOS at the Fermi energy: 2.17 states/eV per cell
- Calculated volume: 21.56 Å³/atom
- Formation energy: 14.6 kcal/mol of atoms

=====

Entry from the Alexandria database: CsCdSnAu2 after structural relaxation (PBE).

Lattice parameters (Å, degrees): 5.540 5.540 5.600 90.00 90.00 90.00
Positions (direct):
Sn (0.000, 0.000, 0.000)
Cs (0.500, 0.500, 0.500)
Cd (0.000, 0.000, 0.500)
Au (0.000, 0.500, 0.000)
Au (0.500, 0.000, 0.000)

- DOS at the Fermi energy: 0.40 states/eV per cell
- Calculated volume: 34.37 Å³/atom
- Formation energy: -2.6 kcal/mol of atoms

=====

Entry from the Alexandria database: Cs3Bi2Au2 after structural relaxation (PBE).

Lattice parameters (Å, degrees): 5.092 7.496 9.488 113.87 90.00 109.86
Positions (direct):
Au (0.798, 0.596, 0.068)
Cs (0.500, 0.000, 0.000)
Cs (0.709, 0.419, 0.653)
Bi (0.999, 0.998, 0.344)
Bi (0.001, 0.002, 0.656)
Cs (0.291, 0.581, 0.347)
Au (0.202, 0.404, 0.932)

- DOS at the Fermi energy: 2.58 states/eV per cell
- Calculated volume: 43.93 Å³/atom
- Formation energy: -6.2 kcal/mol of atoms

=====

Entry from the Alexandria database: TaNiRh after structural relaxation (PBE).

Lattice parameters (Å, degrees): 5.713 5.713 2.852 75.55 75.55 28.90
Positions (direct):
Rh (0.337, 0.337, 0.663)
Ni (0.001, 0.001, 0.999)
Ta (0.663, 0.663, 0.337)

- DOS at the Fermi energy: 2.32 states/eV per cell
- Calculated volume: 14.49 Å³/atom
- Formation energy: -5.2 kcal/mol of atoms
- ΔE to the lowest computed polymorph: 198 meV/atom

=====

Entry from the Alexandria database: ZnInSb4 after structural relaxation (PBE).

Lattice parameters (Å, degrees): 6.286 6.286 6.286 60.00 60.00 60.00
Positions (direct):
Sb (0.874, 0.375, 0.375)
Sb (0.375, 0.375, 0.874)
Sb (0.375, 0.874, 0.375)
Zn (0.750, 0.750, 0.750)
Sb (0.375, 0.375, 0.375)
In (0.000, 0.000, 0.000)

- DOS at the Fermi energy: 0.80 states/eV per cell
- Energy relative to the elements, uncorrected: 0.2534 eV/atom
- Calculated volume: 29.27 Å³/atom

=====

Entry from the Alexandria database: Er3SeO3 after structural relaxation (PBE).

Lattice parameters (Å, degrees): 6.540 6.540 7.705 64.89 64.89 60.00
Positions (direct):
O (0.124, 0.457, 0.628)
Se (0.333, 0.333, 0.000)
Se (0.667, 0.667, 0.000)
Er (0.426, 0.096, 0.711)
Er (0.234, 0.574, 0.289)
Er (0.904, 0.234, 0.289)
Er (0.766, 0.426, 0.711)
Er (0.096, 0.766, 0.711)
O (0.209, 0.876, 0.372)
Er (0.574, 0.904, 0.289)
O (0.457, 0.791, 0.628)
O (0.791, 0.124, 0.628)
O (0.543, 0.209, 0.372)
O (0.876, 0.543, 0.372)

- DOS at the Fermi energy: 0.23 states/eV per cell
- Energy relative to the elements, uncorrected: -3.0665 eV/atom
- Calculated volume: 17.77 Å³/atom

=====

Entry from the Alexandria database: Zn2Fe2Hg after structural relaxation (PBE).

Lattice parameters (Å, degrees): 7.333 7.333 7.333 152.92 152.92 38.67
Each line ends with the local moment (μB).
Positions (direct):
Zn (0.390, 0.390, 0.000)  -0.02
Zn (0.610, 0.610, 0.000)  -0.02
Fe (0.750, 0.250, 0.500)  2.49
Fe (0.250, 0.750, 0.500)  2.49
Hg (0.000, 0.000, 0.000)  0.01

- DOS at the Fermi energy: 3.59 states/eV per cell
- Calculated volume: 16.31 Å³/atom
- Formation energy: 7.9 kcal/mol of atoms
- ΔE to the lowest computed polymorph: 102 meV/atom

=====

Entry from the Alexandria database: BeCuOs2 after structural relaxation (PBE).

Lattice parameters (Å, degrees): 3.834 2.714 4.969 74.16 90.00 90.00
Positions (direct):
Os (0.500, 0.307, 0.261)
Be (0.000, 0.688, 0.503)
Cu (0.500, 0.571, 0.730)
Os (0.000, 0.934, 0.006)

- DOS at the Fermi energy: 1.57 states/eV per cell
- Calculated volume: 12.44 Å³/atom
- Formation energy: 3.1 kcal/mol of atoms